(1)
Below is a relaxed structure of HfPtRhBr2, with properties calculated at the GGA-PBE level.

theoretical density = 8.30 g/cm³
energy relative to the elements, uncorrected = 0.610 eV/atom
symmetry = No. 123
total DFT energy (no corrections) = -23.64 eV for the cell shown

a = 5.065 Å, b = 4.961 Å, c = 5.065 Å
α = 90.00°, β = 90.00°, γ = 90.00°
Atoms (fractional coordinates):
Br  0.000  0.000  0.500
Br  0.500  0.000  0.000
Rh  0.000  0.500  0.000
Hf  0.000  0.000  0.000
Pt  0.500  0.500  0.500

***

(2)
Below is a relaxed structure of HfPtSeBr2, with properties calculated at the GGA-PBE level.

theoretical density = 7.99 g/cm³
energy relative to the elements, uncorrected = 0.458 eV/atom
symmetry = No. 123
total DFT energy (no corrections) = -20.54 eV for the cell shown
energy above the lowest structure with this stoichiometry = 372 meV/atom

a = 5.008 Å, b = 5.008 Å, c = 5.074 Å
α = 90.00°, β = 90.00°, γ = 90.00°
Last column: magnetic moment on the atom in μB.
Atoms (fractional coordinates):
Hf  0.500  0.500  0.500  0.91
Pt  0.000  0.000  0.000  -0.02
Br  0.500  0.000  0.000  -0.01
Br  0.000  0.500  0.000  -0.01
Se  0.000  0.000  0.500  -0.06

***

(3)
Below is a relaxed structure of HfPtSeBr2, with properties calculated at the GGA-PBE level.

theoretical density = 7.33 g/cm³
energy relative to the elements, uncorrected = 0.086 eV/atom
symmetry = No. 123
total DFT energy (no corrections) = -22.40 eV for the cell shown
energy above the lowest structure with this stoichiometry = 0 meV/atom

a = 5.176 Å, b = 5.176 Å, c = 5.176 Å
α = 90.00°, β = 90.00°, γ = 90.00°
Last column: magnetic moment on the atom in μB.
Atoms (fractional coordinates):
Br  0.000  0.500  0.000  0.01
Br  0.500  0.000  0.000  0.01
Hf  0.000  0.000  0.000  -0.01
Se  0.000  0.000  0.500  0.02
Pt  0.500  0.500  0.500  0.47